No. 1
This record from the Alexandria database describes a relaxed structure of Sr2CoPdC. The functional is GGA-PBE.

Values from the calculation:
Volume   21.64 A^3/atom

a b c (Å): 5.4735 5.4735 3.6119
angles (deg): 90.00 90.00 90.00
Fractional coordinates of all 5 atoms:
Sr 0.0000 0.5000 0.0000
Sr 0.5000 0.0000 0.0000
Co 0.0000 0.0000 0.5000
Pd 0.5000 0.5000 0.5000
C 0.0000 0.0000 0.0000

---

No. 2
This record from the Alexandria database describes a relaxed structure of Ce2Ho6Er3Th. The functional is GGA-PBE.

Values from the calculation:
Volume   30.67 A^3/atom

a b c (Å): 6.0876 6.0876 11.6462
angles (deg): 95.01 95.01 119.98
Fractional coordinates of all 12 atoms:
Ce 0.3333 0.6667 0.0000
Ce 0.6667 0.3333 0.0000
Er 0.5000 0.5000 0.5000
Er 0.1667 0.8333 0.5000
Er 0.8333 0.1667 0.5000
Ho 0.2490 0.2490 0.7518
Ho 0.5841 0.9166 0.7517
Ho 0.0834 0.4159 0.2483
Ho 0.4159 0.0834 0.2483
Ho 0.9166 0.5841 0.7517
Ho 0.7510 0.7510 0.2482
Th 0.0000 0.0000 0.0000

---

No. 3
This record from the Alexandria database describes a relaxed structure of VNi2Ir2. The functional is GGA-PBE.

Values from the calculation:
Energy above the lowest structure with this stoichiometry   283.0 meV per atom
Volume   13.26 A^3/atom

a b c (Å): 6.9621 6.9621 2.7347
angles (deg): 90.00 90.00 90.00
Fractional coordinates of all 10 atoms:
Ir 0.3245 0.1755 0.5000
Ir 0.6755 0.8245 0.5000
Ir 0.8245 0.3245 0.5000
Ir 0.1755 0.6755 0.5000
V 0.5000 0.5000 0.0000
V 0.0000 0.0000 0.0000
Ni 0.1222 0.3778 0.0000
Ni 0.6222 0.1222 0.0000
Ni 0.3778 0.8778 0.0000
Ni 0.8778 0.6222 0.0000

---

No. 4
This record from the Alexandria database describes a relaxed structure of Li3CuRe. The functional is GGA-PBE.

Values from the calculation:
Energy above the lowest structure with this stoichiometry   0.0 meV per atom
Volume   14.45 A^3/atom

a b c (Å): 4.1649 4.1649 4.1649
angles (deg): 90.00 90.00 90.00
Fractional coordinates of all 5 atoms:
Li 0.0000 0.5000 0.0000
Li 0.0000 0.0000 0.5000
Li 0.5000 0.0000 0.0000
Cu 0.0000 0.0000 0.0000
Re 0.5000 0.5000 0.5000

---

Number 1: energy relative to the elements -0.046 eV per atom, E_tot -5.02 eV/atom. Number 2: energy relative to the elements 0.043 eV per atom, E_tot -4.99 eV/atom. Number 3: energy relative to the elements 0.034 eV per atom, E_tot -7.65 eV/atom. Number 4: energy relative to the elements 1.171 eV per atom, E_tot -3.29 eV/atom.